(1)
# CsRb8Hg2O

A geometry-optimized CsRb8Hg2O structure (PBE, the Alexandria database).

Values from the calculation:
crystal system	triclinic
formation energy without anion corrections	-314	meV/atom
SG	P-1

```
CsRb8Hg2O
1.0
8.2407 0.0000 0.0000
4.0898 8.5794 0.0000
0.0387 2.1132 10.2816
Cs Rb Hg O
1 8 2 1
direct
0.0000 0.0000 0.0000
0.1527 0.2317 0.5238
0.2606 0.4809 0.8715
0.3757 0.7714 0.4811
0.4452 0.1034 0.2329
0.5548 0.8966 0.7671
0.6243 0.2286 0.5189
0.7394 0.5191 0.1285
0.8473 0.7683 0.4762
0.2208 0.5633 0.2348
0.7792 0.4367 0.7652
0.5000 0.0000 0.5000
```

***

(2)
# ThPa6N12

A geometry-optimized ThPa6N12 structure (PBE, the Alexandria database).

Values from the calculation:
crystal system	trigonal
formation energy without anion corrections	-1563	meV/atom
SG	R-3

```
ThPa6N12
1.0
5.1411 2.9682 3.1266
-5.1411 2.9682 3.1266
0.0000 -5.9364 3.1266
Th Pa N
1 6 12
direct
0.0000 0.0000 0.0000
0.1368 0.5982 0.2986
0.2986 0.1368 0.5982
0.4018 0.7014 0.8632
0.5982 0.2986 0.1368
0.7014 0.8632 0.4018
0.8632 0.4018 0.7014
0.0631 0.9191 0.3303
0.0809 0.6697 0.9369
0.1773 0.4350 0.5865
0.3303 0.0631 0.9191
0.4135 0.8227 0.5650
0.4350 0.5865 0.1773
0.5650 0.4135 0.8227
0.5865 0.1773 0.4350
0.6697 0.9369 0.0809
0.8227 0.5650 0.4135
0.9191 0.3303 0.0631
0.9369 0.0809 0.6697
```

***

(3)
# MoRuW2

A geometry-optimized MoRuW2 structure (PBE, the Alexandria database).

Values from the calculation:
crystal system	orthorhombic
SG	Pmmm
ΔE_f	0.160	eV per atom
offset from the most stable computed form	0.047	eV per atom

```
MoRuW2
1.0
3.1333 0.0000 0.0000
0.0000 4.4406 0.0000
0.0000 0.0000 4.4891
Mo Ru W
1 1 2
direct
0.0000 0.0000 0.0000
0.5000 0.0000 0.5000
0.0000 0.5000 0.5000
0.5000 0.5000 0.0000
```

***

(4)
# YZrTc2

A geometry-optimized YZrTc2 structure (PBE, the Alexandria database).

Values from the calculation:
crystal system	tetragonal
SG	P4mm
ΔE_f	0.008	eV per atom

```
YZrTc2
1.0
3.0917 0.0000 0.0000
0.0000 3.0917 0.0000
0.0000 0.0000 8.5513
Y Zr Tc
1 1 2
direct
0.0000 0.0000 0.0000
0.5000 0.5000 0.3558
0.0000 0.0000 0.5833
0.5000 0.5000 0.7486
```